Crystalline TbDy5YSc2 at its relaxed geometry, computed with PBE.

Computed properties:
Its energy of formation from the pure elements is 1.54 eV per formula unit. For the density, the calculation gives 6.86 g/cm³. The value obtained for the total DFT energy (no corrections) is -5.026 eV per atom.

a b c (Å): 5.581 21.436 9.311
angles (deg): 90.00 90.00 90.00
Space group Cmc2_1 (No. 36)
Unique sites:
Tb  0.000  0.186  0.000 x4
Dy  0.000  0.010  0.997 x4
Dy  0.000  0.265  0.316 x4
Dy  0.000  0.307  0.702 x4
Dy  0.000  0.392  0.028 x4
Dy  0.000  0.468  0.731 x4
Y  0.000  0.402  0.402 x4
Sc  0.000  0.113  0.306 x4
Sc  0.000  0.138  0.680 x4